(1)
NiB3O | Alexandria via LeMat-Bulk | PBE with a Hubbard U | relaxed; space-group type = Pm-3m (221); E above lowest polymorph = 18.5 kJ per mole of atoms
1.0
3.404 0.000 0.000
0.000 3.404 0.000
0.000 0.000 3.404
Ni B O
1 3 1
direct
0.500 0.500 0.500
0.000 0.500 0.000
0.000 0.000 0.500
0.500 0.000 0.000
0.000 0.000 0.000

***

(2)
Ni2BO4 | Alexandria via LeMat-Bulk | PBE with a Hubbard U | relaxed; space-group type = Pnma (62)
1.0
-2.475 -1.236 -1.372
4.155 0.774 -8.191
3.636 -8.444 1.046
O Ni B
16 8 4
direct
0.750 0.012 0.630
0.750 0.512 0.870
0.250 0.760 0.248
0.250 0.488 0.130
0.750 0.012 0.114
0.750 0.240 0.752
0.250 0.988 0.886
0.250 0.260 0.252
0.750 0.732 0.008
0.250 0.268 0.992
0.250 0.988 0.370
0.250 0.768 0.508
0.750 0.512 0.386
0.750 0.232 0.492
0.750 0.740 0.748
0.250 0.488 0.614
0.750 0.123 0.935
0.750 0.623 0.565
0.750 0.610 0.197
0.250 0.377 0.435
0.750 0.110 0.303
0.250 0.890 0.697
0.250 0.877 0.065
0.250 0.390 0.803
0.250 0.841 0.376
0.250 0.341 0.124
0.750 0.159 0.624
0.750 0.659 0.876

***

(3)
Ni2BO | Alexandria via LeMat-Bulk | PBE with a Hubbard U | relaxed; space-group type = I-42d (122); E above lowest polymorph = 0.0 kJ per mole of atoms
1.0
4.615 0.000 0.000
0.000 4.615 0.000
2.308 2.308 4.266
Ni B O
4 2 2
direct
0.375 0.375 0.750
0.875 0.875 0.750
0.125 0.625 0.250
0.625 0.125 0.250
0.500 0.500 0.000
0.250 0.750 0.500
0.750 0.250 0.500
0.000 0.000 0.000

***

(4)
NiB2O | Alexandria via LeMat-Bulk | PBE with a Hubbard U | relaxed; space-group type = I-42d (122)
1.0
4.497 0.000 0.000
0.000 4.497 0.000
2.248 2.248 3.105
B O Ni
4 2 2
direct
0.875 0.813 0.750
0.187 0.625 0.250
0.375 0.437 0.750
0.563 0.125 0.250
0.250 0.750 0.500
0.500 0.500 0.000
0.750 0.250 0.500
0.000 0.000 0.000

***

(5)
NiB4O7 | Alexandria via LeMat-Bulk | PBE with a Hubbard U | relaxed; space-group type = Cmcm (63)
1.0
5.219 0.000 0.000
0.000 6.342 0.000
0.000 3.073 5.548
O Ni B
14 2 8
direct
0.523 0.188 0.558
0.250 0.755 0.802
0.477 0.558 0.188
0.023 0.558 0.188
0.977 0.188 0.558
0.523 0.442 0.812
0.977 0.442 0.812
0.750 0.070 0.930
0.250 0.198 0.245
0.477 0.812 0.442
0.750 0.245 0.198
0.750 0.802 0.755
0.023 0.812 0.442
0.250 0.930 0.070
0.250 0.253 0.747
0.750 0.747 0.253
0.750 0.303 0.929
0.000 0.702 0.702
0.250 0.697 0.071
0.500 0.298 0.298
0.500 0.702 0.702
0.250 0.929 0.303
0.000 0.298 0.298
0.750 0.071 0.697

***

(6)
NiBP2O | Alexandria via LeMat-Bulk | PBE with a Hubbard U | relaxed; space-group type = P4/mmm (123); E above lowest polymorph = 0.0 kJ per mole of atoms
1.0
4.745 0.000 0.000
0.000 4.745 0.000
0.000 0.000 2.707
Ni B O P
1 1 1 2
direct
0.500 0.500 0.500
0.000 0.000 0.000
0.000 0.000 0.500
0.500 0.000 0.000
0.000 0.500 0.000

***

(7)
NiBPO2 | Alexandria via LeMat-Bulk | PBE with a Hubbard U | relaxed; space-group type = P4/mmm (123); E above lowest polymorph = 0.0 kJ per mole of atoms
1.0
-2.072 -1.124 1.924
-1.657 -0.979 -2.357
3.658 -6.513 0.135
Ni P B O
1 1 1 2
direct
0.500 0.500 0.500
0.000 0.000 0.500
0.000 0.000 0.000
0.000 0.500 0.000
0.500 0.000 0.000

***

(8)
NiBPO2 | Alexandria via LeMat-Bulk | PBE with a Hubbard U | relaxed; space-group type = P4/mmm (123); E above lowest polymorph = 89.0 kJ per mole of atoms
1.0
-0.077 -2.562 2.344
2.673 -1.540 -1.595
3.055 2.438 2.765
Ni B O P
1 1 2 1
direct
0.000 0.000 0.000
0.500 0.500 0.500
0.500 0.000 0.000
0.000 0.500 0.000
0.000 0.000 0.500

***

(9)
NiBP2O | Alexandria via LeMat-Bulk | PBE with a Hubbard U | relaxed; space-group type = P4/mmm (123); E above lowest polymorph = 92.5 kJ per mole of atoms
1.0
4.477 0.000 0.000
0.000 4.477 0.000
0.000 0.000 3.388
B O P Ni
1 1 2 1
direct
0.500 0.500 0.500
0.000 0.000 0.500
0.000 0.500 0.000
0.500 0.000 0.000
0.000 0.000 0.000

***

(10)
PaNi2BO6 | Alexandria via LeMat-Bulk | PBE with a Hubbard U | relaxed; space-group type = P4mm (99)
1.0
5.452 0.000 0.000
0.000 5.104 0.000
0.000 0.000 5.104
B Ni O Pa
1 2 6 1
direct
0.628 0.000 0.000
0.841 0.500 0.000
0.841 0.000 0.500
0.756 0.232 0.768
0.191 0.500 0.500
0.756 0.768 0.768
0.756 0.768 0.232
0.756 0.232 0.232
0.389 0.000 0.000
0.533 0.500 0.500

***

(11)
PaNi4B3O12 | Alexandria via LeMat-Bulk | PBE with a Hubbard U | relaxed; space-group type = Im-3 (204)
1.0
6.125 0.000 0.000
-2.042 5.774 0.000
-2.042 -2.887 5.001
O Ni B Pa
12 4 3 1
direct
0.850 0.184 0.333
0.333 0.850 0.184
0.667 0.850 0.517
0.667 0.150 0.816
0.850 0.517 0.667
0.150 0.816 0.667
0.517 0.667 0.850
0.333 0.150 0.483
0.816 0.667 0.150
0.483 0.333 0.150
0.184 0.333 0.850
0.150 0.483 0.333
0.000 0.500 0.000
0.000 0.000 0.500
0.500 0.500 0.500
0.500 0.000 0.000
0.500 0.000 0.500
0.500 0.500 0.000
0.000 0.500 0.500
0.000 0.000 0.000

***

(12)
PaNiB2O8 | Alexandria via LeMat-Bulk | PBE with a Hubbard U | relaxed; space-group type = P-3m1 (164)
1.0
4.865 0.000 0.000
-2.432 4.213 0.000
0.000 0.000 6.412
O B Ni Pa
8 2 1 1
direct
0.336 0.168 0.217
0.832 0.664 0.217
0.832 0.168 0.217
0.333 0.667 0.492
0.667 0.333 0.508
0.664 0.832 0.783
0.168 0.832 0.783
0.168 0.336 0.783
0.667 0.333 0.279
0.333 0.667 0.721
0.000 0.000 0.000
0.000 0.000 0.500

***

Short version: electronic total energy = -3.80; -5.99; -3.74; -4.99; -7.50; -4.75; -4.99; -4.07; -3.79; -6.64; -6.28; -7.30 eV per atom, in the order given.